Below is an optimized crystal structure of Li2Al, with properties calculated at the PBEsol level.

a = 8.5296 Å, b = 8.5296 Å, c = 8.5296 Å
α = 60.00°, β = 60.00°, γ = 60.00°
With the nearest neighbours (Å) after each atom.
Fractional coordinates of all 24 atoms:
1 Al 0.2445 0.9185 0.9185  6 Li 2.60-2.90, 3 Al 2.78
2 Al 0.3315 0.0055 0.3315  6 Li 2.60-2.90, 3 Al 2.78
3 Al 0.9185 0.2445 0.9185  6 Li 2.60-2.90, 3 Al 2.78
4 Al 0.9185 0.9185 0.2445  6 Li 2.60-2.90, 3 Al 2.78
5 Al 0.3315 0.3315 0.3315  6 Li 2.60-2.90, 3 Al 2.78
6 Al 0.3315 0.3315 0.0055  6 Li 2.60-2.90, 3 Al 2.78
7 Al 0.9185 0.9185 0.9185  6 Li 2.60-2.90, 3 Al 2.78
8 Al 0.0055 0.3315 0.3315  6 Li 2.60-2.90, 3 Al 2.78
9 Li 0.2991 0.7009 0.7009  4 Al 2.90-2.97, 6 Li 2.99-3.13
10 Li 0.1250 0.1250 0.1250  6 Al 2.60
11 Li 0.7009 0.2991 0.7009  4 Al 2.90-2.97, 6 Li 2.99-3.13
12 Li 0.9509 0.5491 0.9509  4 Al 2.90-2.97, 6 Li 2.99-3.13
13 Li 0.7009 0.7009 0.2991  4 Al 2.90-2.97, 6 Li 2.99-3.13
14 Li 0.9509 0.9509 0.5491  4 Al 2.90-2.97, 6 Li 2.99-3.13
15 Li 0.2991 0.7009 0.2991  4 Al 2.90-2.97, 6 Li 2.99-3.13
16 Li 0.1250 0.6250 0.1250  6 Al 2.60
17 Li 0.5491 0.9509 0.5491  4 Al 2.90-2.97, 6 Li 2.99-3.13
18 Li 0.5491 0.9509 0.9509  4 Al 2.90-2.97, 6 Li 2.99-3.13
19 Li 0.7009 0.2991 0.2991  4 Al 2.90-2.97, 6 Li 2.99-3.13
20 Li 0.2991 0.2991 0.7009  4 Al 2.90-2.97, 6 Li 2.99-3.13
21 Li 0.1250 0.1250 0.6250  6 Al 2.60
22 Li 0.6250 0.1250 0.1250  6 Al 2.60
23 Li 0.5491 0.5491 0.9509  4 Al 2.90-2.97, 6 Li 2.99-3.13
24 Li 0.9509 0.5491 0.5491  4 Al 2.90-2.97, 6 Li 2.99-3.13

Output
space group = Fd-3m (227)
theoretical density = 1.24 g/cm³
DFT formation energy = -0.096 eV/atom
N(E_F) = 7.0 states/eV per cell